(1)
This record from Alexandria via LeMat-Bulk describes crystalline MnBeIr3 at its relaxed geometry. The functional is PBE-GGA.

Results
Energy above the lowest structure with this stoichiometry   970 meV/atom
Total magnetization   0.000 μB/f.u.
E_form   1.5317 eV/atom
Energy   -6.364 eV/atom

Geometry as POSCAR:
```
MnBeIr3
1.0
4.432 0.000 0.000
0.000 4.432 0.000
0.000 0.000 4.432
Mn Be Ir
1 1 3
direct
0.000 0.000 0.000 Mn
0.500 0.500 0.500 Be
0.000 0.000 0.500 Ir
0.000 0.500 0.000 Ir
0.500 0.000 0.000 Ir
```

---

(2)
This record from Alexandria via LeMat-Bulk describes crystalline In2AgCl at its relaxed geometry. The functional is PBE-GGA.

Results
Energy above the lowest structure with this stoichiometry   0 meV/atom
Total magnetization   0.000 μB/f.u.
Formation energy from raw total energies   -109 kJ/mol of formula units
Energy   -2.826 eV/atom

Geometry as POSCAR:
```
In2AgCl
1.0
5.730 -1.668 0.000
5.730 1.668 0.000
-0.016 0.000 5.098
In Ag Cl
2 1 1
direct
0.000 0.000 0.000 In
0.749 0.749 0.501 In
0.260 0.260 0.001 Ag
0.505 0.505 0.500 Cl
```